Entry a
## Ti2VMo4 (PBE-GGA)

Data for Ti2VMo4 after structural relaxation.

Lattice parameters (Å, degrees): 4.2769 4.4746 7.6555 125.94 90.00 90.00
Closest atoms and distances in Å follow each position.
Element x y z (fractional)
Ti 0.5000 0.5024 0.7167  4 Mo 2.65-2.73, 2 V 2.68, 2 Ti 2.79-2.80
Ti 0.5000 0.7317 0.4459  5 Mo 2.68-2.97, 2 Ti 2.79-2.80
V 0.0000 0.7622 0.9763  4 Mo 2.57-2.73, 2 Ti 2.68
Mo 0.5000 0.2531 0.9674  4 Mo 2.62-2.69, 2 Ti 2.72-2.73
Mo 0.0000 0.2484 0.4632  2 Ti 2.65, 4 Mo 2.66-2.76
Mo 0.5000 0.9935 0.2075  2 V 2.57, 4 Mo 2.66-2.69, 2 Ti 2.68-2.69
Mo 0.0000 0.0085 0.7232  4 Mo 2.62-2.76, 2 V 2.73, 2 Ti 2.74

Properties
As for the density of states at the Fermi level: 10.4 states/eV per cell.

---

Entry b
## Ti2VMo4 (PBE-GGA)

Data for Ti2VMo4 after structural relaxation.

Lattice parameters (Å, degrees): 3.1740 3.0956 11.6294 90.00 97.84 90.00
Closest atoms and distances in Å follow each position.
Element x y z (fractional)
Ti 0.7998 0.5000 0.5995  4 Mo 2.68, 2 Ti 2.79
Ti 0.2002 0.5000 0.4005  4 Mo 2.68, 2 Ti 2.79
V 0.5000 0.0000 0.0000  8 Mo 2.70
Mo 0.9333 0.5000 0.8667  4 V 2.70, 4 Mo 2.71
Mo 0.6346 0.0000 0.2692  4 Ti 2.68, 4 Mo 2.71
Mo 0.0667 0.5000 0.1333  4 V 2.70, 4 Mo 2.71
Mo 0.3654 0.0000 0.7308  4 Ti 2.68, 4 Mo 2.71

Properties
As for the density of states at the Fermi level: 6.1 states/eV per cell.

---

Least stable structure: entry a

---

Entry a
## Ti2VMo3 (PBE-GGA)

Data for Ti2VMo3 after structural relaxation.

Lattice parameters (Å, degrees): 5.0909 6.2168 6.2168 83.04 90.00 90.00
Closest atoms and distances in Å follow each position.
Element x y z (fractional)
Ti 0.7500 0.5609 0.8861  3 Ti 2.68-2.97, 5 Mo 2.75-2.98, 1 V 2.81
Ti 0.2500 0.1139 0.4391  3 Ti 2.68-2.97, 5 Mo 2.75-2.98, 1 V 2.81
Ti 0.2500 0.4391 0.1139  3 Ti 2.68-2.97, 5 Mo 2.75-2.98, 1 V 2.81
Ti 0.7500 0.8861 0.5609  3 Ti 2.68-2.97, 5 Mo 2.75-2.98, 1 V 2.81
V 0.2500 0.8178 0.8178  5 Mo 2.38-2.60
V 0.7500 0.1822 0.1822  5 Mo 2.38-2.60
Mo 0.0000 0.1823 0.8177  2 Mo 2.55, 2 V 2.60, 2 Ti 2.75
Mo 0.5000 0.1823 0.8177  2 Mo 2.55, 2 V 2.60, 2 Ti 2.75
Mo 0.2500 0.5621 0.5621  1 V 2.38
Mo 0.7500 0.4379 0.4379  1 V 2.38
Mo 0.5000 0.8177 0.1823  2 Mo 2.55, 2 V 2.60, 2 Ti 2.75
Mo 0.0000 0.8177 0.1823  2 Mo 2.55, 2 V 2.60, 2 Ti 2.75

Properties
As for the density of states at the Fermi level: 14.3 states/eV per cell.

---

Entry b
## Ti2VMo3 (PBE-GGA)

Data for Ti2VMo3 after structural relaxation.

Lattice parameters (Å, degrees): 4.4707 6.9218 6.3166 90.00 90.00 71.05
Closest atoms and distances in Å follow each position.
Element x y z (fractional)
Ti 0.0000 0.0000 0.0000  8 Mo 2.69-2.71
Ti 0.0000 0.0000 0.5000  8 Mo 2.76
Ti 0.3338 0.3324 0.5000  8 Mo 2.70-2.77
Ti 0.6662 0.6676 0.5000  8 Mo 2.70-2.77
V 0.3331 0.3337 0.0000  8 Mo 2.63-2.71
V 0.6669 0.6663 0.0000  8 Mo 2.63-2.71
Mo 0.8303 0.3392 0.7587  3 V 2.63-2.71, 5 Ti 2.69-2.77
Mo 0.5000 0.0000 0.2439  2 V 2.67, 6 Ti 2.71-2.76
Mo 0.1697 0.6608 0.2413  3 V 2.63-2.71, 5 Ti 2.69-2.77
Mo 0.8304 0.3392 0.2413  3 V 2.63-2.71, 5 Ti 2.69-2.77
Mo 0.1696 0.6608 0.7587  3 V 2.63-2.71, 5 Ti 2.69-2.77
Mo 0.5000 0.0000 0.7561  2 V 2.67, 6 Ti 2.71-2.76

Properties
As for the density of states at the Fermi level: 19.2 states/eV per cell.

---

Least stable structure: entry a

---

Entry a
## TiVZnMo (PBE-GGA)

Data for TiVZnMo after structural relaxation.

Lattice parameters (Å, degrees): 3.1771 3.1771 5.9677 90.00 90.00 90.00
Closest atoms and distances in Å follow each position.
Element x y z (fractional)
Ti 0.0000 0.0000 0.8637  4 Mo 2.71, 4 Zn 2.75, 1 V 2.88
V 0.0000 0.0000 0.3463  4 Mo 2.63, 4 Zn 2.71, 1 Ti 2.88
Zn 0.5000 0.5000 0.5993  4 V 2.71, 4 Ti 2.75, 1 Mo 2.87
Mo 0.5000 0.5000 0.1186  4 V 2.63, 4 Ti 2.71, 1 Zn 2.87

Properties
As for the density of states at the Fermi level: 4.9 states/eV per cell.

---

Entry b
## TiVZnMo (PBE-GGA)

Data for TiVZnMo after structural relaxation.

Lattice parameters (Å, degrees): 4.3916 4.3916 4.3916 60.00 60.00 60.00
Closest atoms and distances in Å follow each position.
Element x y z (fractional)
Mo 0.7500 0.7500 0.7500  4 Ti 2.69, 4 V 2.69
Ti 0.5000 0.5000 0.5000  4 Mo 2.69, 4 Zn 2.69
Zn 0.2500 0.2500 0.2500  4 Ti 2.69, 4 V 2.69
V 0.0000 0.0000 0.0000  4 Zn 2.69, 4 Mo 2.69

Properties
As for the density of states at the Fermi level: 4.1 states/eV per cell.

---

Least stable structure: entry b

---

Entry a
## TiMoW (PBE-GGA)

Data for TiMoW after structural relaxation.

Lattice parameters (Å, degrees): 3.1680 4.4239 7.1971 107.84 90.00 90.00
Closest atoms and distances in Å follow each position.
Element x y z (fractional)
Ti 0.0229 0.6751 0.6979  4 Mo 2.72, 2 W 2.79, 2 Ti 2.87
Ti 0.5229 0.5006 0.3490  4 Mo 2.72, 2 W 2.79, 2 Ti 2.87
Mo 0.5229 0.1700 0.6877  4 Ti 2.72, 2 W 2.74, 2 Mo 2.75
Mo 0.0229 0.0056 0.3591  4 Ti 2.72, 2 W 2.74, 2 Mo 2.75
W 0.0229 0.3329 0.0135  4 W 2.72, 2 Mo 2.74, 2 Ti 2.79
W 0.5229 0.8427 0.0334  4 W 2.72, 2 Mo 2.74, 2 Ti 2.79

Properties
As for the density of states at the Fermi level: 5.4 states/eV per cell.

---

Entry b
## TiMoW (PBE-GGA)

Data for TiMoW after structural relaxation.

Lattice parameters (Å, degrees): 2.7936 5.4885 6.8552 97.49 98.03 109.92
Closest atoms and distances in Å follow each position.
Element x y z (fractional)
Ti 0.8271 0.9163 0.6681  2 Mo 2.72-2.74, 3 W 2.74-2.75, 3 Ti 2.77-2.79
Ti 0.1729 0.0837 0.3319  2 Mo 2.72-2.74, 3 W 2.74-2.75, 3 Ti 2.77-2.79
Mo 0.4892 0.7518 0.9994  2 W 2.69-2.73, 4 Mo 2.70-2.79, 2 Ti 2.72-2.74
Mo 0.5108 0.2482 0.0006  2 W 2.69-2.73, 4 Mo 2.70-2.79, 2 Ti 2.72-2.74
W 0.1573 0.5798 0.3305  2 Mo 2.69-2.73, 3 Ti 2.74-2.75, 3 W 2.74-2.79
W 0.8427 0.4202 0.6695  2 Mo 2.69-2.73, 3 Ti 2.74-2.75, 3 W 2.74-2.79

Properties
As for the density of states at the Fermi level: 6.8 states/eV per cell.

---

Entry c
## TiMoW (PBE-GGA)

Data for TiMoW after structural relaxation.

Lattice parameters (Å, degrees): 5.7297 5.7297 7.1767 77.33 77.33 106.69
Closest atoms and distances in Å follow each position.
Element x y z (fractional)
W 0.2156 0.9968 0.6234  3 Mo 2.57-2.63, 2 Ti 2.65-2.71, 2 W 2.79-2.85
W 0.9643 0.7124 0.0238  3 Mo 2.67-2.89, 2 W 2.79-2.85, 3 Ti 2.83-2.97
W 0.7124 0.9643 0.5238  3 Mo 2.67-2.89, 2 W 2.79-2.85, 3 Ti 2.83-2.97
W 0.9968 0.2156 0.1234  3 Mo 2.57-2.63, 2 Ti 2.65-2.71, 2 W 2.79-2.85
Mo 0.5587 0.2679 0.1918  2 W 2.57-2.71, 3 Ti 2.62-2.64, 1 Mo 2.63
Mo 0.1410 0.8611 0.3086  2 Ti 2.61-2.64, 4 W 2.61-2.89, 1 Mo 2.63
Mo 0.2679 0.5587 0.6918  2 W 2.57-2.71, 3 Ti 2.62-2.64, 1 Mo 2.63
Mo 0.8611 0.1410 0.8086  2 Ti 2.61-2.64, 4 W 2.61-2.89, 1 Mo 2.63
Ti 0.4188 0.2028 0.8739  3 Mo 2.61-2.64, 2 W 2.65-2.71, 2 Ti 2.87-2.88
Ti 0.2028 0.4188 0.3739  3 Mo 2.61-2.64, 2 W 2.65-2.71, 2 Ti 2.87-2.88
Ti 0.7065 0.4672 0.4606  2 Mo 2.62-2.64, 1 W 2.83, 2 Ti 2.87-2.88
Ti 0.4672 0.7065 0.9606  2 Mo 2.62-2.64, 1 W 2.83, 2 Ti 2.87-2.88

Properties
As for the density of states at the Fermi level: 10.8 states/eV per cell.

---

Least stable structure: entry c